DFT (PBE-GGA) results for an optimized crystal structure of La3PF.

Properties
- Symmetry: Pm-3m (221)
- Raw formation energy: -1.1929 eV/atom
- N(E_F): 6.74 states/eV/cell
- Theoretical density: 6.4 g cm⁻³

a b c (Å): 4.948 4.948 4.948
angles (deg): 90.00 90.00 90.00
Fractional positions:
P 0.500 0.500 0.500
F 0.000 0.000 0.000
La 0.000 0.500 0.000
La 0.000 0.000 0.500
La 0.500 0.000 0.000